# 1
## InCo2Pt (GGA-PBE)

Data for a relaxed structure of InCo2Pt.

Cell and atoms, written as POSCAR:
```
InCo2Pt
1.0
2.785 0.000 0.000
0.000 3.698 0.000
0.000 0.000 5.660
In Pt Co
1 1 2
direct
0.500 0.500 0.250 In
0.500 0.500 0.750 Pt
0.000 0.000 0.976 Co
0.000 0.000 0.524 Co
```

Output
- symmetry = Pmmm
- total energy (eV per atom) = -5.67



# 2
## Tb7In2Cu2 (GGA-PBE)

Data for a relaxed structure of Tb7In2Cu2.

Cell and atoms, written as POSCAR:
```
Tb7In2Cu2
1.0
-4.013 5.547 -0.943
0.964 -0.482 -6.936
-3.966 -5.658 -0.159
Tb In Cu
7 2 2
direct
0.500 0.241 0.500 Tb
0.000 0.254 0.500 Tb
0.000 0.746 0.500 Tb
0.000 0.000 0.000 Tb
0.500 0.746 0.000 Tb
0.500 0.759 0.500 Tb
0.500 0.254 0.000 Tb
0.826 0.500 0.826 In
0.174 0.500 0.174 In
0.705 0.000 0.295 Cu
0.295 0.000 0.705 Cu
```

Output
- symmetry = Cmmm
- total energy (eV per atom) = -4.27



# 3
## MnNb6Cu (GGA-PBE)

Data for a relaxed structure of MnNb6Cu.

Cell and atoms, written as POSCAR:
```
MnNb6Cu
1.0
-1.471 -2.204 -3.760
4.343 -1.069 -1.072
0.941 -6.987 0.914
Nb Mn Cu
6 1 1
direct
0.381 0.881 0.237 Nb
0.619 0.119 0.763 Nb
0.119 0.619 0.763 Nb
0.253 0.253 0.494 Nb
0.881 0.381 0.237 Nb
0.747 0.747 0.506 Nb
0.500 0.500 0.000 Mn
0.000 0.000 0.000 Cu
```

Output
- symmetry = I4/mmm
- total energy (eV per atom) = -9.16



# 4
## FeTeP2 (GGA-PBE)

Data for a relaxed structure of FeTeP2.

Cell and atoms, written as POSCAR:
```
FeTeP2
1.0
3.197 0.000 0.000
0.000 4.327 0.000
0.000 0.000 4.884
Fe Te P
1 1 2
direct
0.000 0.500 0.500 Fe
0.500 0.000 0.500 Te
0.000 0.000 0.000 P
0.500 0.500 0.000 P
```

Output
- symmetry = Pmmm
- total energy (eV per atom) = -4.88



# 5
## FePt3Br (GGA-PBE)

Data for a relaxed structure of FePt3Br.

Cell and atoms, written as POSCAR:
```
FePt3Br
1.0
4.716 0.000 0.000
0.000 4.716 0.000
0.000 0.000 4.716
Pt Fe Br
3 1 1
direct
0.000 0.500 0.000 Pt
0.000 0.000 0.500 Pt
0.500 0.000 0.000 Pt
0.500 0.500 0.500 Fe
0.000 0.000 0.000 Br
```

Output
- symmetry = Pm-3m
- energy above the lowest structure with this stoichiometry (eV per atom) = 0.346
- total energy (eV per atom) = -4.26



# 6
## TcTeRh2 (GGA-PBE)

Data for a relaxed structure of TcTeRh2.

Cell and atoms, written as POSCAR:
```
TcTeRh2
1.0
-1.766 2.900 3.266
-4.014 1.507 -1.951
1.458 -4.445 0.558
Tc Rh Te
1 2 1
direct
0.500 0.500 0.000 Tc
0.250 0.750 0.500 Rh
0.000 0.000 0.000 Rh
0.750 0.250 0.500 Te
```

Output
- symmetry = I-4m2
- total energy (eV per atom) = -6.94



# 7
## KTcBi3 (GGA-PBE)

Data for a relaxed structure of KTcBi3.

Cell and atoms, written as POSCAR:
```
KTcBi3
1.0
-1.842 -1.093 5.049
-4.581 -2.133 -2.133
2.388 -4.933 -0.196
Bi Tc K
3 1 1
direct
0.000 0.000 0.500 Bi
0.000 0.500 0.000 Bi
0.500 0.000 0.000 Bi
0.000 0.000 0.000 Tc
0.500 0.500 0.500 K
```

Output
- symmetry = Pm-3m
- energy above the lowest structure with this stoichiometry (eV per atom) = 0.000
- total energy (eV per atom) = -4.32



# 8
## LiSc2Pd4 (GGA-PBE)

Data for a relaxed structure of LiSc2Pd4.

Cell and atoms, written as POSCAR:
```
LiSc2Pd4
1.0
6.966 -0.038 1.031
-0.554 7.088 -0.936
-2.282 -4.334 5.086
Sc Li Pd
4 2 8
direct
0.570 0.376 0.696 Sc
0.652 0.376 0.222 Sc
0.096 0.374 0.776 Sc
0.648 0.876 0.274 Sc
0.129 0.618 0.521 Li
0.153 0.130 0.009 Li
0.275 0.943 0.195 Pd
0.877 0.664 0.753 Pd
0.502 0.808 0.833 Pd
0.775 0.077 0.774 Pd
0.947 0.672 0.198 Pd
0.368 0.606 0.274 Pd
0.918 0.143 0.262 Pd
0.340 0.086 0.713 Pd
```

Output
- symmetry = P1
- energy above the lowest structure with this stoichiometry (eV per atom) = 0.053
- total energy (eV per atom) = -5.64



# 9
## Cr3As5 (GGA-PBE)

Data for a relaxed structure of Cr3As5.

Cell and atoms, written as POSCAR:
```
Cr3As5
1.0
8.454 -0.419 0.724
-5.707 5.658 0.034
-0.833 -1.926 5.573
Cr As
6 10
direct
0.115 0.680 0.834 Cr
0.242 0.124 0.060 Cr
0.884 0.320 0.166 Cr
0.686 0.939 0.408 Cr
0.758 0.876 0.940 Cr
0.313 0.061 0.592 Cr
0.063 0.193 0.286 As
0.720 0.294 0.511 As
0.383 0.412 0.777 As
0.466 0.828 0.043 As
0.936 0.807 0.714 As
0.533 0.172 0.957 As
0.970 0.263 0.781 As
0.029 0.737 0.219 As
0.279 0.706 0.489 As
0.616 0.588 0.223 As
```

Output
- symmetry = P-1
- energy above the lowest structure with this stoichiometry (eV per atom) = 0.000
- total energy (eV per atom) = -6.50



# 10
## RbOsN2 (GGA-PBE)

Data for a relaxed structure of RbOsN2.

Cell and atoms, written as POSCAR:
```
RbOsN2
1.0
1.921 0.000 6.788
-0.961 1.664 6.788
-0.961 -1.664 6.788
N Rb Os
2 1 1
direct
0.129 0.129 0.129 N
0.871 0.871 0.871 N
0.000 0.000 0.000 Rb
0.500 0.500 0.500 Os
```

Output
- symmetry = R-3m
- energy above the lowest structure with this stoichiometry (eV per atom) = 0.650
- total energy (eV per atom) = -6.44



# 11
## RbTcHBr2 (GGA-PBE)

Data for a relaxed structure of RbTcHBr2.

Cell and atoms, written as POSCAR:
```
RbTcHBr2
1.0
5.470 0.000 0.000
0.000 3.851 0.000
0.000 0.000 5.470
H Br Tc Rb
1 2 1 1
direct
0.000 0.500 0.000 H
0.500 0.000 0.000 Br
0.000 0.000 0.500 Br
0.000 0.000 0.000 Tc
0.500 0.500 0.500 Rb
```

Output
- symmetry = P4/mmm
- total energy (eV per atom) = -3.87



# 12
## Sc2PdRu2 (GGA-PBE)

Data for a relaxed structure of Sc2PdRu2.

Cell and atoms, written as POSCAR:
```
Sc2PdRu2
1.0
-2.399 1.928 6.009
-2.648 -6.143 0.914
3.290 -1.167 1.688
Sc Pd Ru
4 2 4
direct
0.179 0.679 0.500 Sc
0.321 0.179 0.500 Sc
0.821 0.321 0.500 Sc
0.679 0.821 0.500 Sc
0.000 0.000 0.000 Pd
0.500 0.500 0.000 Pd
0.627 0.127 0.000 Ru
0.873 0.627 0.000 Ru
0.373 0.873 0.000 Ru
0.127 0.373 0.000 Ru
```

Output
- symmetry = P4/mbm
- total energy (eV per atom) = -7.65



Look up the total energy of the tenth one. -6.44 eV per atom